(a)
The following is a DFT calculation (GGA-PBE) of a geometry-optimized InSn2Pb3 structure.

Calculated values
* total magnetic moment: 0.00 μB per atom

Cell lengths 5.8176, 10.2825, 5.9772 Å; angles 90.00, 90.00, 90.00 degrees
Closest atoms and distances in Å follow each position.
Space group Cmmm (No. 65)
Unique sites:
In1 0.0000 0.0000 0.0000 x2  6 Sn 3.39, 4 Pb 3.45
Sn1 0.0000 0.3299 0.0000 x4  3 Sn 3.34-3.50, 3 In 3.39, 4 Pb 3.42-3.46
Pb1 0.0000 0.1674 0.5000 x4  6 Pb 3.37-3.44, 2 Sn 3.42, 2 In 3.45
Pb2 0.0000 0.5000 0.5000 x2  6 Pb 3.38-3.42, 4 Sn 3.46

(b)
The following is a DFT calculation (GGA-PBE) of a geometry-optimized InSn2Pb3 structure.

Calculated values
* total magnetic moment: 0.00 μB per atom

Cell lengths 10.9728, 4.7527, 7.1168 Å; angles 90.00, 106.23, 90.00 degrees
Closest atoms and distances in Å follow each position.
Space group C2/m (No. 12)
Unique sites:
In1 0.0000 0.0000 0.0000 x2  6 Sn 3.35-3.54, 6 Pb 3.47-3.56
Sn1 0.1640 0.5000 0.8456 x4  3 In 3.35-3.54, 7 Pb 3.37-3.74, 2 Sn 3.42
Pb1 0.0000 0.0000 0.5000 x2  6 Pb 3.48, 4 Sn 3.53, 2 In 3.56
Pb2 0.1709 0.5000 0.3226 x4  5 Sn 3.37-3.74, 2 In 3.47, 5 Pb 3.48-3.55

Ranked by calculated energy, most stable first: (b), (a).

(a)
The following is a DFT calculation (GGA-PBE) of a geometry-optimized InSnPb3 structure.

Calculated values
* total magnetic moment: 0.00 μB per atom

Cell lengths 5.8596, 5.8596, 5.8596 Å; angles 90.00, 90.00, 90.00 degrees
Closest atoms and distances in Å follow each position.
Space group Pm-3m (No. 221)
Unique sites:
In1 0.0000 0.0000 0.0000 x1  12 Pb 4.14
Sn1 0.5000 0.5000 0.5000 x1  6 Pb 2.93
Pb1 0.0000 0.5000 0.5000 x3  2 Sn 2.93

(b)
The following is a DFT calculation (GGA-PBE) of a geometry-optimized InSnPb3 structure.

Calculated values
* total magnetic moment: 0.00 μB per atom

Cell lengths 15.3849, 6.0022, 6.9219 Å; angles 90.00, 108.41, 90.00 degrees
Closest atoms and distances in Å follow each position.
Space group C2/m (No. 12)
Unique sites:
In1 0.0965 0.0000 0.4545 x4  1 In 3.22, 8 Pb 3.32-3.54, 1 Sn 3.37
Sn1 0.2033 0.5000 0.1635 x4  9 Pb 3.32-3.59, 1 In 3.37
Pb1 0.0025 0.5000 0.7539 x4  2 Sn 3.39-3.47, 6 Pb 3.43-3.52, 2 In 3.47
Pb2 0.1021 0.0000 0.9471 x4  3 Sn 3.32-3.49, 4 Pb 3.37-3.44, 3 In 3.38-3.54
Pb3 0.2064 0.5000 0.6468 x4  3 In 3.32-3.49, 4 Sn 3.33-3.59, 3 Pb 3.37-3.52

Ranked by calculated energy, most stable first: (b), (a).

(a)
The following is a DFT calculation (GGA-PBE) of a geometry-optimized In12Sn6Pb structure.

Calculated values
* total magnetic moment: 0.00 μB per atom

Cell lengths 14.2682, 14.2682, 9.5607 Å; angles 90.00, 90.00, 120.00 degrees
Closest atoms and distances in Å follow each position.
Space group R-3m (No. 166, hexagonal axes)
Unique sites:
In1 0.0000 0.3861 0.0000 x18  4 Sn 3.20, 5 In 3.23-3.44
In2 0.0815 0.1629 0.7570 x18  4 Sn 3.15-3.33, 1 Pb 3.18, 4 In 3.23-3.49
Sn1 0.0712 0.5356 0.7272 x18  8 In 3.15-3.33, 2 Sn 3.44
Pb1 0.0000 0.0000 0.5000 x3  6 In 3.18

(b)
The following is a DFT calculation (GGA-PBE) of a geometry-optimized In12Sn6Pb structure.

Calculated values
* total magnetic moment: 0.00 μB per atom

Cell lengths 10.3223, 10.3223, 10.3223 Å; angles 90.00, 90.00, 90.00 degrees
Closest atoms and distances in Å follow each position.
Space group Im-3 (No. 204)
Unique sites:
In1 0.0000 0.2009 0.2511 x24  2 Sn 3.02-3.28, 1 Pb 3.32, 4 In 3.36
Sn1 0.0000 0.3553 0.5000 x12  1 Sn 2.99, 4 In 3.02-3.28
Pb1 0.0000 0.0000 0.0000 x2  12 In 3.32

Ranked by calculated energy, most stable first: (a), (b).

(a)
The following is a DFT calculation (GGA-PBE) of a geometry-optimized InSn4Pb structure.

Calculated values
* total magnetic moment: 0.00 μB per atom

Cell lengths 8.9342, 8.9342, 8.9342 Å; angles 90.00, 90.00, 90.00 degrees
Closest atoms and distances in Å follow each position.
Space group F-43m (No. 216)
Unique sites:
In1 0.0000 0.0000 0.0000 x4  12 Sn 3.70, 4 Pb 3.87
Sn1 0.1253 0.1253 0.3747 x16  6 Sn 3.15-3.17
Pb1 0.2500 0.2500 0.7500 x4  12 Sn 3.70, 4 In 3.87

(b)
The following is a DFT calculation (GGA-PBE) of a geometry-optimized InSn4Pb structure.

Calculated values
* total magnetic moment: 0.00 μB per atom

Cell lengths 8.5303, 9.1650, 5.6314 Å; angles 90.00, 129.53, 90.00 degrees
Closest atoms and distances in Å follow each position.
Space group C2/m (No. 12)
Unique sites:
In1 0.0000 0.0000 0.0000 x2  2 Pb 3.29, 12 Sn 3.42-3.67
Sn1 0.2441 0.3294 0.2450 x8  5 Sn 3.13-3.37, 1 In 3.42, 1 Pb 3.46
Pb1 0.0000 0.5000 0.5000 x2  2 In 3.29, 12 Sn 3.46-3.64

Ranked by calculated energy, most stable first: (b), (a).

(a)
The following is a DFT calculation (GGA-PBE) of a geometry-optimized In6SnPb2 structure.

Calculated values
* total magnetic moment: 0.00 μB per atom

Cell lengths 4.2862, 15.0688, 8.3222 Å; angles 90.00, 90.00, 90.00 degrees
Closest atoms and distances in Å follow each position.
Space group Amm2 (No. 38)
Unique sites:
In1 0.0000 0.0000 0.0000 x2  2 Sn 3.12, 2 Pb 3.21, 2 In 3.45
In2 0.0000 0.1260 0.5879 x4  2 Sn 3.09, 2 Pb 3.16-3.18
In3 0.5000 0.0000 0.3253 x2  1 Sn 3.35, 6 In 3.45-3.60, 4 Pb 3.52
In4 0.5000 0.1881 0.9125 x4  1 Sn 3.22, 4 Pb 3.34-3.38, 2 In 3.57
Sn1 0.5000 0.0000 0.7281 x2  9 In 3.09-3.35
Pb1 0.0000 0.1756 0.2194 x4  9 In 3.16-3.52

(b)
The following is a DFT calculation (GGA-PBE) of a geometry-optimized In6SnPb2 structure.

Calculated values
* total magnetic moment: 0.00 μB per atom

Cell lengths 10.5719, 4.9538, 10.1300 Å; angles 90.00, 105.73, 90.00 degrees
Closest atoms and distances in Å follow each position.
Space group C2/m (No. 12)
Unique sites:
In1 0.0011 0.0000 0.3353 x4  8 In 3.34-3.51, 3 Pb 3.39-3.40, 1 Sn 3.39
In2 0.1634 0.5000 0.5564 x4  9 In 3.33-3.47, 3 Pb 3.38-3.48
In3 0.1666 0.5000 0.8902 x4  5 In 3.37-3.51, 4 Pb 3.38-3.41, 3 Sn 3.40
Sn1 0.0000 0.0000 0.0000 x2  8 In 3.39-3.40, 4 Pb 3.50
Pb1 0.1681 0.5000 0.2246 x4  10 In 3.38-3.48, 2 Sn 3.50

Ranked by calculated energy, most stable first: (b), (a).

(a)
The following is a DFT calculation (GGA-PBE) of a geometry-optimized InSnPb structure.

Calculated values
* total magnetic moment: 0.00 μB per atom

Cell lengths 3.4644, 3.4644, 14.4278 Å; angles 90.00, 90.00, 90.00 degrees
Closest atoms and distances in Å follow each position.
Space group I4mm (No. 107)
Unique sites:
In1 0.0000 0.0000 0.0000 x2  4 Sn 3.35, 4 In 3.46, 4 Pb 3.51
Sn1 0.0000 0.0000 0.3418 x2  4 In 3.35, 4 Pb 3.44, 4 Sn 3.46
Pb1 0.0000 0.0000 0.6740 x2  4 Sn 3.44, 4 Pb 3.46, 4 In 3.51

(b)
The following is a DFT calculation (GGA-PBE) of a geometry-optimized InSnPb structure.

Calculated values
* total magnetic moment: 0.00 μB per atom

Cell lengths 3.9305, 3.9305, 11.1655 Å; angles 90.00, 90.00, 90.00 degrees
Closest atoms and distances in Å follow each position.
Space group P4/nmm (No. 129, origin choice 2)
Unique sites:
In1 0.2500 0.2500 0.0791 x2  5 Sn 3.28-3.50, 4 In 3.29, 1 Pb 3.66
Sn1 0.2500 0.2500 0.7657 x2  5 In 3.28-3.50, 4 Pb 3.38
Pb1 0.2500 0.2500 0.4068 x2  4 Sn 3.38, 4 Pb 3.47, 1 In 3.66

(c)
The following is a DFT calculation (GGA-PBE) of a geometry-optimized InSnPb structure.

Calculated values
* total magnetic moment: 0.00 μB per atom

Cell lengths 4.8415, 14.4324, 4.9714 Å; angles 90.00, 90.00, 90.00 degrees
Closest atoms and distances in Å follow each position.
Space group Cmcm (No. 63)
Unique sites:
In1 0.0000 0.0803 0.2500 x4  6 Sn 3.33-3.47, 2 In 3.40, 4 Pb 3.45-3.48
Sn1 0.0000 0.4223 0.2500 x4  6 In 3.33-3.47, 2 Sn 3.35, 4 Pb 3.43-3.55
Pb1 0.0000 0.2464 0.7500 x4  4 Sn 3.43-3.55, 4 In 3.45-3.48, 4 Pb 3.47

(d)
The following is a DFT calculation (GGA-PBE) of a geometry-optimized InSnPb structure.

Calculated values
* total magnetic moment: 0.00 μB per atom

Cell lengths 5.6033, 5.6033, 3.2102 Å; angles 90.00, 90.00, 120.00 degrees
Closest atoms and distances in Å follow each position.
Space group P3m1 (No. 156)
Unique sites:
In1 0.0000 0.0000 0.0000 x1  2 In 3.21, 3 Sn 3.25, 3 Pb 3.58
Sn1 0.3333 0.6667 0.9194 x1  2 Sn 3.21, 3 In 3.25, 3 Pb 3.48
Pb1 0.6667 0.3333 0.5210 x1  2 Pb 3.21, 3 Sn 3.48, 3 In 3.58

Ranked by calculated energy, most stable first: (c), (a), (b), (d).